P) Pm3PrHg2 | PBE | optimized geometry

a = 3.7637 Å, b = 3.7637 Å, c = 12.8040 Å
α = 90.00°, β = 90.00°, γ = 90.00°
Closest atoms and distances in Å follow each position.
Space group P4/mmm (No. 123)
Asymmetric unit:
1 Pm 0.0000 0.0000 0.0000 (multiplicity 1)  8 Hg 3.31
2 Pm 0.0000 0.0000 0.3017 (multiplicity 2)  4 Hg 3.27
3 Pr 0.5000 0.5000 0.5000 (multiplicity 1)  8 Pm 3.68, 4 Pr 3.76
4 Hg 0.5000 0.5000 0.1533 (multiplicity 2)  8 Pm 3.27-3.31

Results
size of the total moment: 0.37 Bohr magnetons per cell
V: 181.4 Å³/f.u.

***

Q) Pm3PrHg2 | PBE | optimized geometry

a = 5.2529 Å, b = 9.5854 Å, c = 7.2660 Å
α = 90.00°, β = 90.00°, γ = 90.00°
Closest atoms and distances in Å follow each position.
Space group Pmc2_1 (No. 26)
Asymmetric unit:
1 Pm 0.0000 0.0571 0.0000 (multiplicity 2)  3 Hg 3.25-3.31, 1 Pm 3.59
2 Pm 0.0000 0.3252 0.3441 (multiplicity 2)  4 Hg 3.14-3.20
3 Pm 0.5000 0.1720 0.6836 (multiplicity 2)  4 Hg 3.10-3.20
4 Pr 0.5000 0.4430 0.0272 (multiplicity 2)  3 Hg 3.27-3.32, 1 Pm 3.60
5 Hg 0.0000 0.3500 0.7753 (multiplicity 2)  5 Pm 3.14-3.25, 2 Pr 3.32
6 Hg 0.5000 0.1477 0.2512 (multiplicity 2)  6 Pm 3.10-3.31, 1 Pr 3.27

Results
size of the total moment: 0.00 Bohr magnetons per cell
V: 182.9 Å³/f.u.

***

Ranking the structures above by energy, Q) is first and the second is 17 meV/atom behind.